A plane-wave DFT calculation with PBE-GGA was carried out for AcGdCuOs after structural relaxation.

Cell lengths 5.086, 5.086, 5.086 Å; angles 60.00, 60.00, 60.00 degrees
Element x y z (fractional)
Ac 0.000 0.000 0.000
Gd 0.500 0.500 0.500
Cu 0.250 0.250 0.250
Os 0.750 0.750 0.750

Calculated values
Formation energy in eV/atom: -0.02
Total magnetization in μB per formula unit: 6.857
Space group: F-43m